Record 1
Crystalline ZrFeHgPb at its relaxed geometry, computed with PBE.

a b c (Å): 6.7873 6.7873 6.7873
angles (deg): 90.00 90.00 90.00
Element x y z (fractional)
Zr 0.0000 0.0000 0.0000
Zr 0.0000 0.5000 0.5000
Zr 0.5000 0.0000 0.5000
Zr 0.5000 0.5000 0.0000
Fe 0.0000 0.0000 0.5000
Fe 0.0000 0.5000 0.0000
Fe 0.5000 0.0000 0.0000
Fe 0.5000 0.5000 0.5000
Hg 0.2500 0.2500 0.7500
Hg 0.2500 0.7500 0.2500
Hg 0.7500 0.2500 0.2500
Hg 0.7500 0.7500 0.7500
Pb 0.2500 0.2500 0.2500
Pb 0.2500 0.7500 0.7500
Pb 0.7500 0.2500 0.7500
Pb 0.7500 0.7500 0.2500

## Properties
* distance to the lowest polymorph of the same formula: 0.00 kJ per mole of atoms

---

Record 2
Crystalline ZrFeHgPb at its relaxed geometry, computed with PBE.

a b c (Å): 6.9543 6.9543 6.9543
angles (deg): 90.00 90.00 90.00
Element x y z (fractional)
Zr 0.0000 0.0000 0.0000
Zr 0.0000 0.5000 0.5000
Zr 0.5000 0.0000 0.5000
Zr 0.5000 0.5000 0.0000
Fe 0.2500 0.2500 0.7500
Fe 0.2500 0.7500 0.2500
Fe 0.7500 0.2500 0.2500
Fe 0.7500 0.7500 0.7500
Hg 0.2500 0.2500 0.2500
Hg 0.2500 0.7500 0.7500
Hg 0.7500 0.2500 0.7500
Hg 0.7500 0.7500 0.2500
Pb 0.0000 0.0000 0.5000
Pb 0.0000 0.5000 0.0000
Pb 0.5000 0.0000 0.0000
Pb 0.5000 0.5000 0.5000

## Properties
* distance to the lowest polymorph of the same formula: 2.89 kJ per mole of atoms